<w>
The following is a DFT calculation (GGA-PBE) of a geometry-optimized Pr7NdSm3 structure.

Structure (extended XYZ):
```
11
Lattice="-0.8875 -3.2465 1.4633 10.6602 -1.4626 3.2204 -7.2922 5.0867 6.8629" Properties=species:S:1:pos:R:3 pbc="T T T"
Sm 6.1960 -1.0588 7.3683
Sm 1.4210 -0.4037 5.9258
Sm 4.6874 -2.6821 2.8517
Pr 7.9642 -1.0026 3.9555
Pr -4.7728 1.8606 7.1809
Pr 3.7987 1.9031 7.8758
Pr 1.8748 -0.1671 2.1159
Pr 0.3777 1.1539 8.7368
Pr -1.4381 2.4280 5.8631
Pr -1.2495 -0.5971 3.8651
Nd 4.5449 0.2406 4.6508
```

Computed properties:
**Crystal system**: trigonal


<x>
The following is a DFT calculation (GGA-PBE) of a geometry-optimized Pr7NdSm3 structure.

Structure (extended XYZ):
```
11
Lattice="-6.0251 -4.9699 4.0810 5.2073 -2.7255 4.3688 -3.6444 6.0380 1.9728" Properties=species:S:1:pos:R:3 pbc="T T T"
Pr -0.2316 2.6652 5.0074
Pr -1.0130 1.0092 1.8371
Pr 1.5134 -0.4176 4.0736
Pr -0.8382 -0.5114 6.8180
Pr -1.6202 -2.1688 3.6450
Pr 0.9853 -3.5326 5.8309
Pr -2.8349 4.0278 2.8233
Sm -6.5383 -0.8719 4.1829
Sm -3.9367 -2.2335 6.3655
Sm -5.7574 0.7830 7.3511
Nd -3.3641 0.9142 4.5802
```

Computed properties:
**Crystal system**: trigonal


Most stable structure, least stable structure: <w>, <x>.


<w>
The following is a DFT calculation (GGA-PBE) of a geometry-optimized Pr5Nd2Sm2 structure.

Structure (extended XYZ):
```
9
Lattice="-0.9092 3.3904 -0.6004 -9.3026 -1.8732 3.5090 11.1727 2.1074 5.5423" Properties=species:S:1:pos:R:3 pbc="T T T"
Pr 0.0000 0.0000 0.0000
Pr -0.6787 0.4443 3.5366
Pr 1.6397 3.1803 4.9143
Pr 5.2321 2.1408 4.1655
Pr -4.2712 1.4838 4.2854
Sm -1.6286 2.5687 6.4099
Sm 2.5896 1.0559 2.0410
Nd -3.3535 1.1233 0.8602
Nd 4.3145 2.5013 7.5907
```

Computed properties:
**Crystal system**: monoclinic


<x>
The following is a DFT calculation (GGA-PBE) of a geometry-optimized Pr5Nd2Sm2 structure.

Structure (extended XYZ):
```
18
Lattice="12.1129 0.0000 0.0000 0.0000 6.9810 0.0000 -6.0564 -3.4905 7.6064" Properties=species:S:1:pos:R:3 pbc="T T T"
Pr 2.8265 -0.8355 2.1757
Pr 2.8265 -0.8355 5.4307
Pr 9.0784 1.4722 0.8115
Pr -2.8972 2.8601 3.8032
Pr -3.0345 1.4722 6.7949
Pr 9.0909 4.9627 0.8115
Pr 3.2299 2.6550 2.1757
Pr -3.0220 -2.0182 6.7949
Pr 8.9537 -0.6304 3.8032
Pr 3.2299 2.6550 5.4307
Nd 6.0096 0.4064 1.9165
Nd 6.0096 0.4064 5.6898
Nd 0.0468 3.8968 5.6898
Nd 0.0468 3.8968 1.9166
Sm 6.0564 3.7136 0.0000
Sm 5.9802 4.1572 3.8032
Sm 0.0000 0.2231 0.0000
Sm 0.0762 0.6667 3.8032
```

Computed properties:
**Crystal system**: orthorhombic


Most stable structure, least stable structure: <w>, <x>.


<w>
The following is a DFT calculation (GGA-PBE) of a geometry-optimized Pr8Nd4Sm3 structure.

Structure (extended XYZ):
```
15
Lattice="-4.2431 -5.3494 -1.4242 5.7643 -1.9652 7.2398 -3.8376 5.8939 6.3276" Properties=species:S:1:pos:R:3 pbc="T T T"
Pr 2.9067 0.3737 6.9683
Pr -1.7278 -1.0506 9.1353
Pr -0.9801 3.5550 6.5991
Pr -0.5887 -0.3702 3.0079
Pr 1.2599 -2.6896 6.3013
Pr 0.4989 1.6823 9.2430
Pr -2.8154 -3.1031 2.9002
Pr -3.5765 1.2689 5.8419
Nd -2.1216 -2.6747 -0.7121
Nd -1.9188 2.9469 3.1638
Nd 0.0000 0.0000 0.0000
Nd 2.8821 -0.9826 3.6199
Sm -4.0404 0.2722 2.4517
Sm 0.7606 -3.6573 2.9078
Sm -1.1583 -0.7104 6.0716
```

Computed properties:
**Crystal system**: monoclinic


<x>
The following is a DFT calculation (GGA-PBE) of a geometry-optimized Pr8Nd4Sm3 structure.

Structure (extended XYZ):
```
15
Lattice="6.2979 0.0000 3.3966 2.2330 5.8887 3.3966 -2.6619 -1.8374 12.4728" Properties=species:S:1:pos:R:3 pbc="T T T"
Pr 1.4065 0.9709 4.9291
Pr 4.4625 3.0804 14.3369
Pr 3.3014 0.0949 12.7391
Pr 1.2593 3.0532 12.7391
Pr 5.7314 3.9563 8.2333
Pr 2.5676 3.9563 6.5270
Pr 4.6097 0.9980 6.5270
Pr 0.1376 0.0950 11.0327
Nd 5.6464 3.8976 4.6047
Nd 0.2226 0.1536 14.6614
Nd 0.0000 0.0000 0.0000
Nd 2.9345 2.0256 9.6330
Sm -1.3309 -0.9187 6.2364
Sm -0.2144 2.0256 7.9347
Sm 1.8180 -0.9187 7.9347
```

Computed properties:
**Crystal system**: trigonal


Most stable structure, least stable structure: <x>, <w>.


<w>
The following is a DFT calculation (GGA-PBE) of a geometry-optimized Pr2Nd5Sm3 structure.

Structure (extended XYZ):
```
20
Lattice="-0.6514 -6.1565 -2.3514 10.2216 -4.5432 -0.2621 -5.1722 -6.0252 7.8827" Properties=species:S:1:pos:R:3 pbc="T T T"
Sm -0.4886 -4.6174 -1.7636
Sm 4.2642 -7.7131 0.3622
Sm -0.1629 -1.5391 -0.5879
Sm 0.1338 -9.0119 4.9069
Sm -0.5760 -5.1322 4.2712
Sm 4.9740 -11.5928 0.9979
Nd -1.7863 -7.5399 1.5850
Nd 3.4687 -11.0103 4.5525
Nd 2.0361 -9.9016 2.0467
Nd 3.7376 -3.9612 0.0103
Nd 6.1843 -9.1851 3.6842
Nd 1.2551 -2.6365 1.8924
Nd 2.3619 -6.8234 3.2224
Nd 3.1430 -14.0885 3.3768
Nd 0.9293 -5.7147 0.7166
Nd 0.6604 -12.7638 5.2588
Pr -3.3937 -8.4814 4.4952
Pr 7.1532 -4.4191 0.2630
Pr -2.7552 -12.3059 5.0062
Pr 7.7917 -8.2436 0.7739
```

Computed properties:
**Crystal system**: orthorhombic


<x>
The following is a DFT calculation (GGA-PBE) of a geometry-optimized Pr2Nd5Sm3 structure.

Structure (extended XYZ):
```
20
Lattice="-8.6374 4.6415 -0.7117 -7.5691 -6.2587 0.8542 8.0604 1.9265 7.7404" Properties=species:S:1:pos:R:3 pbc="T T T"
Nd -5.9634 -1.4606 3.8013
Nd -6.4977 3.9933 3.0445
Nd -1.6484 -3.6838 4.8384
Nd -6.0415 1.6349 5.7544
Nd -9.8042 -2.0654 2.1922
Nd -5.9463 -1.9059 0.6894
Nd -2.1827 1.7700 4.0816
Nd -2.1046 -1.3254 2.1285
Nd 1.6581 2.3748 5.6907
Nd -2.1998 2.2153 7.1935
Pr -7.2835 -4.6454 2.6129
Pr -3.5204 -0.9557 6.1013
Pr -4.6257 1.2651 1.7816
Pr -0.8626 4.9548 5.2700
Sm -1.6662 -3.2194 8.0836
Sm -0.2790 -0.6424 6.0985
Sm -4.1043 4.6483 5.3203
Sm -7.8671 0.9518 1.7844
Sm -4.0419 -4.3389 2.5626
Sm -6.4799 3.5288 -0.2007
```

Computed properties:
**Crystal system**: monoclinic


Most stable structure, least stable structure: <x>, <w>.


<w>
The following is a DFT calculation (GGA-PBE) of a geometry-optimized Pr7Nd4Sm structure.

Structure (extended XYZ):
```
12
Lattice="-2.0519 1.4256 -5.6236 4.2555 -6.2639 -6.5074 -4.7236 -6.6666 -3.3333" Properties=species:S:1:pos:R:3 pbc="T T T"
Sm 0.0000 0.0000 0.0000
Pr 0.9226 -5.2300 -5.0292
Pr -2.0555 -3.5124 -3.5072
Pr -3.4426 -6.2750 -10.4351
Pr -1.0259 0.7128 -2.8118
Pr -0.4645 -7.9925 -11.9571
Pr -0.9465 -9.9504 -8.9107
Pr -1.5735 -1.5545 -6.5536
Nd -0.0208 -6.7571 -8.4389
Nd 1.0088 -3.1616 -7.9032
Nd -3.5288 -8.3433 -7.5611
Nd -2.4992 -4.7479 -7.0253
```

Computed properties:
**Crystal system**: monoclinic


<x>
The following is a DFT calculation (GGA-PBE) of a geometry-optimized Pr7Nd4Sm structure.

Structure (extended XYZ):
```
12
Lattice="-1.9866 -5.6824 4.3048 -2.7141 -9.3640 -0.8815 7.7995 -5.8079 -0.8954" Properties=species:S:1:pos:R:3 pbc="T T T"
Nd 1.4450 -15.9388 1.8988
Nd 1.6538 -4.9155 0.6291
Nd -0.2071 -11.0147 1.2650
Nd 3.3059 -9.8395 1.2628
Pr -2.8438 -8.9405 2.7838
Pr 2.4418 -13.0966 -0.2586
Pr -0.9933 -2.8412 2.1524
Pr 0.6570 -7.7577 2.7864
Pr 0.7887 -8.1803 -0.8856
Pr 5.9427 -11.9138 -0.2559
Pr 2.3102 -12.6740 3.4134
Sm 0.0000 0.0000 0.0000
```

Computed properties:
**Crystal system**: triclinic


Most stable structure, least stable structure: <x>, <w>.


<w>
The following is a DFT calculation (GGA-PBE) of a geometry-optimized Pr3NdSm structure.

Structure (extended XYZ):
```
10
Lattice="7.8222 2.5471 0.0000 1.7120 8.0464 0.0000 0.0000 0.0000 6.3610" Properties=species:S:1:pos:R:3 pbc="T T T"
Sm 3.1618 3.5131 4.7708
Sm 6.3725 7.0805 1.5903
Pr 0.0000 0.0000 3.1805
Pr 2.5848 5.3236 1.5903
Pr 4.5113 7.4642 4.7708
Pr 0.0000 0.0000 0.0000
Pr 6.9494 5.2699 4.7708
Pr 5.0229 3.1294 1.5903
Nd 1.9086 2.1206 1.5903
Nd 7.6256 8.4729 4.7708
```

Computed properties:
**Crystal system**: orthorhombic


<x>
The following is a DFT calculation (GGA-PBE) of a geometry-optimized Pr3NdSm structure.

Structure (extended XYZ):
```
10
Lattice="-4.9520 0.1067 2.4888 1.9811 -5.8272 4.1917 3.1536 5.4187 6.0425" Properties=species:S:1:pos:R:3 pbc="T T T"
Pr -1.2926 3.8851 6.5214
Pr -2.0663 -4.0123 5.3205
Pr 2.2490 3.7104 7.4025
Pr 1.4754 -4.1870 6.2016
Pr 0.6373 -1.7221 4.4285
Pr -0.4546 1.4202 8.2944
Nd -2.3691 0.0831 4.5425
Nd 2.5518 -0.3850 8.1805
Sm -0.8474 -1.9181 7.6558
Sm 1.0302 1.6162 5.0671
```

Computed properties:
**Crystal system**: orthorhombic


Most stable structure, least stable structure: <x>, <w>.